--- i ---
DFT (PBE) results for a relaxed structure of SnMoI2.

The space group is Fm-3m (No. 225) and the conventional cell measures 7.403, 7.403 and 7.403 Å, with angles of 90.00, 90.00 and 90.00 degrees. The asymmetric unit holds Sn at (0.000, 0.000, 0.000), Mo at (0.000, 0.000, 0.500) and I at (0.250, 0.250, 0.250).

As for the total moment: 0.409 μB/atom.

=====

--- ii ---
DFT (PBE) results for a relaxed structure of SnMoI2.

The space group is I-42d (No. 122) and the conventional cell measures 10.014, 10.014 and 5.412 Å, with angles of 90.00, 90.00 and 90.00 degrees. The asymmetric unit holds Sn at (0.000, 0.000, 0.000), Mo at (0.000, 0.000, 0.500) and I at (0.109, 0.750, 0.625).

As for the total moment: 0.479 μB/atom.

=====

It is ii that is the most stable of them.